Ac2YHoS6: relaxed, PBE.

Its raw total energy is -131.2 eV/cell.

The structure belongs to space group P2_1/c (No. 14); the cell edges are 6.9477, 7.5387 and 12.2816 Å and the angles 90.00°, 124.41° and 90.00°. The asymmetric unit holds Ac at (0.2195, 0.0866, 0.2499), Y at (0.5000, 0.0000, 0.0000), Ho at (0.0000, 0.0000, 0.5000), S at (0.1195, 0.1916, 0.9359), S at (0.2508, 0.6903, 0.9360) and S at (0.3765, 0.0437, 0.7492).